First-principles (GGA-PBE) data for a relaxed structure of AcPuAsSe, as listed in the Alexandria database.

The structure in POSCAR format:
```
AcPuAsSe
1.0
0.000 3.739 3.739
3.739 0.000 3.739
3.739 3.739 0.000
Ac Pu As Se
1 1 1 1
Direct
0.000 0.000 0.000 Ac
0.500 0.500 0.500 Pu
0.250 0.250 0.250 As
0.750 0.750 0.750 Se
```

E = -0.2888 Ha/atom
Energy relative to the elements, uncorrected = -1.216 eV per atom
D(E_F) = 6.82 states/eV/cell
ΔE to the lowest computed polymorph = 0.57 eV per formula unit